VASP calculation (PBE) on a geometry-optimized SiAu6 structure.

Computed properties:
- Crystal system: cubic
- Volume: 205.9 Å³/cell
- Raw formation energy: 93.6 kJ/mol of atoms
- Symmetry: Im-3m, No. 229

a = 6.443 Å, b = 6.443 Å, c = 6.443 Å
α = 109.47°, β = 109.47°, γ = 109.47°
Fractional positions:
Si 0.000 0.000 0.000
Au 0.250 0.500 0.750
Au 0.250 0.750 0.500
Au 0.500 0.250 0.750
Au 0.500 0.750 0.250
Au 0.750 0.250 0.500
Au 0.750 0.500 0.250